1.
Below is a crystal of SrB3Pd relaxed with PBEsol, with properties calculated at the meta-GGA SCAN level.

DFT formation energy ... 0.874 eV per atom
Crystal system ... cubic

abc: 4.1708 4.1708 4.1708
angles: 90.00 90.00 90.00
Fractional positions:
Sr 0.0000 0.0000 0.0000
B 0.0000 0.5000 0.5000
B 0.5000 0.0000 0.5000
B 0.5000 0.5000 0.0000
Pd 0.5000 0.5000 0.5000


2.
Below is a crystal of YTaBPd2 relaxed with PBEsol, with properties calculated at the meta-GGA SCAN level.

DFT formation energy ... 0.376 eV per atom
Crystal system ... tetragonal

abc: 4.8086 4.8086 4.2944
angles: 90.00 90.00 90.00
Fractional positions:
Y 0.0000 0.0000 0.0000
Ta 0.5000 0.5000 0.5000
B 0.5000 0.5000 0.0000
Pd 0.0000 0.5000 0.5000
Pd 0.5000 0.0000 0.5000


One value per record, in order, for total energy: -73.0; -165.5 eV per cell.